1 | First-principles (PBE) data for a geometry-optimized Tl3VCo structure, as listed in Alexandria via LeMat-Bulk. Values from VASP.

Calculated values
Volume (Å³ per cell): 143.6
Size of the total moment (μB/cell): 2.90

```
&SYSTEM
  ibrav = 0, nat = 5, ntyp = 3
/
ATOMIC_SPECIES
Tl 204.38 Tl.upf
V 50.94 V.upf
Co 58.93 Co.upf
ATOMIC_POSITIONS crystal
Tl 0.000 0.000 0.500
Tl 0.000 0.500 0.000
Tl 0.500 0.000 0.000
V 0.000 0.000 0.000
Co 0.500 0.500 0.500
CELL_PARAMETERS angstrom
5.236 0.000 0.000
0.000 5.236 0.000
0.000 0.000 5.236
```


2 | First-principles (PBE) data for a geometry-optimized Tl3VCo structure, as listed in Alexandria via LeMat-Bulk. Values from VASP.

Calculated values
Volume (Å³ per cell): 126.8
Size of the total moment (μB/cell): 4.68

```
&SYSTEM
  ibrav = 0, nat = 5, ntyp = 3
/
ATOMIC_SPECIES
Tl 204.38 Tl.upf
V 50.94 V.upf
Co 58.93 Co.upf
ATOMIC_POSITIONS crystal
Tl 0.000 0.000 0.500
Tl 0.000 0.500 0.000
Tl 0.500 0.000 0.000
V 0.500 0.500 0.500
Co 0.000 0.000 0.000
CELL_PARAMETERS angstrom
5.024 0.000 0.000
0.000 5.024 0.000
0.000 0.000 5.024
```


The structure with the least stability is 1.


1 | First-principles (PBE) data for a geometry-optimized Tl2CoW2 structure, as listed in Alexandria via LeMat-Bulk. Values from VASP.

Calculated values
Volume (Å³ per cell): 101.8
Size of the total moment (μB/cell): 1.41

```
&SYSTEM
  ibrav = 0, nat = 5, ntyp = 3
/
ATOMIC_SPECIES
Tl 204.38 Tl.upf
Co 58.93 Co.upf
W 183.84 W.upf
ATOMIC_POSITIONS crystal
Tl 0.095 0.095 0.000
Tl 0.905 0.905 0.000
Co 0.500 0.500 0.000
W 0.250 0.750 0.500
W 0.750 0.250 0.500
CELL_PARAMETERS angstrom
-1.819 1.819 7.696
1.819 -1.819 7.696
1.819 1.819 -7.696
```


2 | First-principles (PBE) data for a geometry-optimized Tl2CoW2 structure, as listed in Alexandria via LeMat-Bulk. Values from VASP.

Calculated values
Volume (Å³ per cell): 201.6
Size of the total moment (μB/cell): 3.32

```
&SYSTEM
  ibrav = 0, nat = 10, ntyp = 3
/
ATOMIC_SPECIES
Tl 204.38 Tl.upf
Co 58.93 Co.upf
W 183.84 W.upf
ATOMIC_POSITIONS crystal
Tl 0.188 0.312 0.000
Tl 0.312 0.812 0.000
Tl 0.688 0.188 0.000
Tl 0.812 0.688 0.000
Co 0.000 0.000 0.000
Co 0.500 0.500 0.000
W 0.107 0.607 0.500
W 0.393 0.107 0.500
W 0.607 0.893 0.500
W 0.893 0.393 0.500
CELL_PARAMETERS angstrom
8.264 0.000 0.000
0.000 8.264 0.000
0.000 0.000 2.952
```


The structure with the least stability is 2.


1 | First-principles (PBE) data for a geometry-optimized YTlCo2 structure, as listed in Alexandria via LeMat-Bulk. Values from VASP.

Calculated values
Volume (Å³ per cell): 68.5
Size of the total moment (μB/cell): 0.00

```
&SYSTEM
  ibrav = 0, nat = 4, ntyp = 3
/
ATOMIC_SPECIES
Y 88.91 Y.upf
Tl 204.38 Tl.upf
Co 58.93 Co.upf
ATOMIC_POSITIONS crystal
Y 0.000 0.000 0.000
Tl 0.500 0.500 0.000
Co 0.000 0.500 0.500
Co 0.500 0.000 0.500
CELL_PARAMETERS angstrom
4.405 0.000 0.000
0.000 4.405 0.000
0.000 0.000 3.529
```


2 | First-principles (PBE) data for a geometry-optimized YTlCo2 structure, as listed in Alexandria via LeMat-Bulk. Values from VASP.

Calculated values
Volume (Å³ per cell): 71.1
Size of the total moment (μB/cell): 1.10

```
&SYSTEM
  ibrav = 0, nat = 4, ntyp = 3
/
ATOMIC_SPECIES
Y 88.91 Y.upf
Tl 204.38 Tl.upf
Co 58.93 Co.upf
ATOMIC_POSITIONS crystal
Y 0.000 0.000 0.000
Tl 0.000 0.000 0.500
Co 0.500 0.500 0.273
Co 0.500 0.500 0.727
CELL_PARAMETERS angstrom
3.375 0.000 0.000
0.000 3.375 0.000
0.000 0.000 6.236
```


The structure with the least stability is 2.


1 | First-principles (PBE) data for a geometry-optimized YTlCo2 structure, as listed in Alexandria via LeMat-Bulk. Values from VASP.

Calculated values
Volume (Å³ per cell): 75.3
Size of the total moment (μB/cell): 1.47

```
&SYSTEM
  ibrav = 0, nat = 4, ntyp = 3
/
ATOMIC_SPECIES
Y 88.91 Y.upf
Tl 204.38 Tl.upf
Co 58.93 Co.upf
ATOMIC_POSITIONS crystal
Y 0.000 0.000 0.000
Tl 0.500 0.701 0.701
Co 0.000 0.297 0.297
Co 0.500 0.410 0.410
CELL_PARAMETERS angstrom
3.889 0.000 0.000
0.000 2.032 4.764
0.000 -2.032 4.764
```


2 | First-principles (PBE) data for a geometry-optimized YTlCo2 structure, as listed in Alexandria via LeMat-Bulk. Values from VASP.

Calculated values
Volume (Å³ per cell): 79.7
Size of the total moment (μB/cell): 1.64

```
&SYSTEM
  ibrav = 0, nat = 4, ntyp = 3
/
ATOMIC_SPECIES
Y 88.91 Y.upf
Tl 204.38 Tl.upf
Co 58.93 Co.upf
ATOMIC_POSITIONS crystal
Y 0.000 0.000 0.000
Tl 0.803 0.803 0.803
Co 0.232 0.232 0.232
Co 0.563 0.563 0.563
CELL_PARAMETERS angstrom
1.974 1.140 5.899
-1.974 1.140 5.899
0.000 -2.280 5.899
```


3 | First-principles (PBE) data for a geometry-optimized YTlCo2 structure, as listed in Alexandria via LeMat-Bulk. Values from VASP.

Calculated values
Volume (Å³ per cell): 73.9
Size of the total moment (μB/cell): 2.64

```
&SYSTEM
  ibrav = 0, nat = 4, ntyp = 3
/
ATOMIC_SPECIES
Y 88.91 Y.upf
Tl 204.38 Tl.upf
Co 58.93 Co.upf
ATOMIC_POSITIONS crystal
Y 0.000 0.000 0.000
Tl 0.500 0.500 0.647
Co 0.000 0.000 0.394
Co 0.500 0.500 0.257
CELL_PARAMETERS angstrom
3.208 0.000 0.000
0.000 3.208 0.000
0.000 0.000 7.186
```


4 | First-principles (PBE) data for a geometry-optimized YTlCo2 structure, as listed in Alexandria via LeMat-Bulk. Values from VASP.

Calculated values
Volume (Å³ per cell): 76.0
Size of the total moment (μB/cell): 2.61

```
&SYSTEM
  ibrav = 0, nat = 4, ntyp = 3
/
ATOMIC_SPECIES
Y 88.91 Y.upf
Tl 204.38 Tl.upf
Co 58.93 Co.upf
ATOMIC_POSITIONS crystal
Y 0.000 0.000 0.000
Tl 0.716 0.216 0.500
Co 0.294 0.794 0.500
Co 0.444 0.444 0.000
CELL_PARAMETERS angstrom
-1.836 2.329 4.443
1.836 -2.329 4.443
1.836 2.329 -4.443
```


The structure with the least stability is 4.


1 | First-principles (PBE) data for a geometry-optimized TlZn2Co2 structure, as listed in Alexandria via LeMat-Bulk. Values from VASP.

Calculated values
Volume (Å³ per cell): 150.8
Size of the total moment (μB/cell): 4.48

```
&SYSTEM
  ibrav = 0, nat = 10, ntyp = 3
/
ATOMIC_SPECIES
Tl 204.38 Tl.upf
Zn 65.41 Zn.upf
Co 58.93 Co.upf
ATOMIC_POSITIONS crystal
Tl 0.000 0.000 0.000
Tl 0.500 0.500 0.000
Zn 0.161 0.339 0.500
Zn 0.339 0.839 0.500
Zn 0.661 0.161 0.500
Zn 0.839 0.661 0.500
Co 0.126 0.626 0.000
Co 0.374 0.126 0.000
Co 0.626 0.874 0.000
Co 0.874 0.374 0.000
CELL_PARAMETERS angstrom
6.876 0.000 0.000
0.000 6.876 0.000
0.000 0.000 3.188
```


2 | First-principles (PBE) data for a geometry-optimized TlZn2Co2 structure, as listed in Alexandria via LeMat-Bulk. Values from VASP.

Calculated values
Volume (Å³ per cell): 78.1
Size of the total moment (μB/cell): 2.04

```
&SYSTEM
  ibrav = 0, nat = 5, ntyp = 3
/
ATOMIC_SPECIES
Tl 204.38 Tl.upf
Zn 65.41 Zn.upf
Co 58.93 Co.upf
ATOMIC_POSITIONS crystal
Tl 0.000 0.000 0.000
Zn 0.250 0.750 0.500
Zn 0.750 0.250 0.500
Co 0.401 0.401 0.000
Co 0.599 0.599 0.000
CELL_PARAMETERS angstrom
-1.829 1.829 5.833
1.829 -1.829 5.833
1.829 1.829 -5.833
```


The structure with the least stability is 2.


1 | First-principles (PBE) data for a geometry-optimized ZrTlCo2 structure, as listed in Alexandria via LeMat-Bulk. Values from VASP.

Calculated values
Volume (Å³ per cell): 68.2
Size of the total moment (μB/cell): 1.57

```
&SYSTEM
  ibrav = 0, nat = 4, ntyp = 3
/
ATOMIC_SPECIES
Zr 91.22 Zr.upf
Tl 204.38 Tl.upf
Co 58.93 Co.upf
ATOMIC_POSITIONS crystal
Zr 0.000 0.000 0.000
Tl 0.500 0.500 0.500
Co 0.254 0.254 0.786
Co 0.746 0.746 0.214
CELL_PARAMETERS angstrom
4.250 -1.618 0.000
4.250 1.618 0.000
-1.370 0.000 4.955
```


2 | First-principles (PBE) data for a geometry-optimized ZrTlCo2 structure, as listed in Alexandria via LeMat-Bulk. Values from VASP.

Calculated values
Volume (Å³ per cell): 63.4
Size of the total moment (μB/cell): 1.07

```
&SYSTEM
  ibrav = 0, nat = 4, ntyp = 3
/
ATOMIC_SPECIES
Zr 91.22 Zr.upf
Tl 204.38 Tl.upf
Co 58.93 Co.upf
ATOMIC_POSITIONS crystal
Zr 0.000 0.000 0.000
Tl 0.500 0.500 0.500
Co 0.250 0.250 0.250
Co 0.750 0.750 0.750
CELL_PARAMETERS angstrom
0.000 3.165 3.165
3.165 0.000 3.165
3.165 3.165 0.000
```


3 | First-principles (PBE) data for a geometry-optimized ZrTlCo2 structure, as listed in Alexandria via LeMat-Bulk. Values from VASP.

Calculated values
Volume (Å³ per cell): 64.0
Size of the total moment (μB/cell): 0.00

```
&SYSTEM
  ibrav = 0, nat = 4, ntyp = 3
/
ATOMIC_SPECIES
Zr 91.22 Zr.upf
Tl 204.38 Tl.upf
Co 58.93 Co.upf
ATOMIC_POSITIONS crystal
Zr 0.000 0.000 0.000
Tl 0.250 0.750 0.500
Co 0.500 0.500 0.000
Co 0.751 0.251 0.500
CELL_PARAMETERS angstrom
-1.886 1.886 4.498
1.886 -1.886 4.498
1.886 1.886 -4.498
```


4 | First-principles (PBE) data for a geometry-optimized ZrTlCo2 structure, as listed in Alexandria via LeMat-Bulk. Values from VASP.

Calculated values
Volume (Å³ per cell): 67.6
Size of the total moment (μB/cell): 2.90

```
&SYSTEM
  ibrav = 0, nat = 4, ntyp = 3
/
ATOMIC_SPECIES
Zr 91.22 Zr.upf
Tl 204.38 Tl.upf
Co 58.93 Co.upf
ATOMIC_POSITIONS crystal
Zr 0.000 0.000 0.000
Tl 0.250 0.250 0.250
Co 0.500 0.500 0.500
Co 0.750 0.750 0.750
CELL_PARAMETERS angstrom
0.000 3.233 3.233
3.233 0.000 3.233
3.233 3.233 0.000
```


The structure with the least stability is 4.